(1)
Ho3Mg3CdGa2 after structural relaxation, computed with PBE-GGA.

Calculated values
The symmetry is P-62m.

a = 7.3323 Å, b = 7.3323 Å, c = 4.4473 Å
α = 90.00°, β = 90.00°, γ = 120.00°
Positions (direct):
Mg (0.0000, 0.7502, 0.0000)
Cd (0.0000, 0.0000, 0.5000)
Ho (0.0000, 0.4318, 0.5000)
Ga (0.6667, 0.3333, 0.0000)
Ga (0.3333, 0.6667, 0.0000)
Ho (0.4318, 0.0000, 0.5000)
Ho (0.5682, 0.5682, 0.5000)
Mg (0.2498, 0.2498, 0.0000)
Mg (0.7502, 0.0000, 0.0000)

---

(2)
Pr2HoMg3CdGa2 after structural relaxation, computed with PBE-GGA.

Calculated values
The symmetry is Amm2.

a = 4.5692 Å, b = 7.4661 Å, c = 7.4661 Å
α = 119.21°, β = 90.00°, γ = 90.00°
Positions (direct):
Mg (0.5000, 0.2476, 0.2476)
Mg (0.5000, 0.9990, 0.7515)
Cd (0.0000, 0.9908, 0.9908)
Ga (0.5000, 0.3409, 0.6655)
Ga (0.5000, 0.6655, 0.3409)
Pr (0.0000, 0.4302, 0.0027)
Ho (0.0000, 0.5719, 0.5719)
Pr (0.0000, 0.0027, 0.4302)
Mg (0.5000, 0.7515, 0.9990)

---

(3)
HoTm2Mg3CdGa2 after structural relaxation, computed with PBE-GGA.

Calculated values
The symmetry is Amm2.

a = 4.4344 Å, b = 7.3151 Å, c = 7.3151 Å
α = 120.16°, β = 90.00°, γ = 90.00°
Positions (direct):
Mg (0.5000, 0.9999, 0.2493)
Cd (0.0000, 0.9983, 0.9983)
Mg (0.5000, 0.7506, 0.7506)
Mg (0.5000, 0.2493, 0.9999)
Ga (0.5000, 0.6678, 0.3332)
Ho (0.0000, 0.4330, 0.4330)
Tm (0.0000, 0.5675, 0.0004)
Tm (0.0000, 0.0004, 0.5675)
Ga (0.5000, 0.3332, 0.6678)

---

(4)
Ho2TmMg3CdGa2 after structural relaxation, computed with PBE-GGA.

Calculated values
The symmetry is Amm2.

a = 4.4429 Å, b = 7.3194 Å, c = 7.3194 Å
α = 119.84°, β = 90.00°, γ = 90.00°
Positions (direct):
Cd (0.0000, 0.0017, 0.0017)
Ga (0.5000, 0.6655, 0.3334)
Ga (0.5000, 0.3334, 0.6655)
Mg (0.5000, 0.0001, 0.2494)
Ho (0.0000, 0.5672, 0.9996)
Tm (0.0000, 0.4323, 0.4323)
Mg (0.5000, 0.2494, 0.0001)
Mg (0.5000, 0.7507, 0.7507)
Ho (0.0000, 0.9996, 0.5672)

---

(5)
Y2HoMg3CdGa2 after structural relaxation, computed with PBE-GGA.

Calculated values
The symmetry is Amm2.

a = 4.4570 Å, b = 7.3661 Å, c = 7.3661 Å
α = 119.88°, β = 90.00°, γ = 90.00°
Positions (direct):
Ga (0.5000, 0.6663, 0.3343)
Mg (0.5000, 0.9998, 0.7506)
Cd (0.0000, 0.9988, 0.9988)
Y (0.0000, 0.4318, 0.0002)
Ga (0.5000, 0.3343, 0.6663)
Mg (0.5000, 0.7506, 0.9998)
Ho (0.0000, 0.5686, 0.5686)
Mg (0.5000, 0.2496, 0.2496)
Y (0.0000, 0.0002, 0.4318)

---

(6)
TbHo2TlCd3Ga2 after structural relaxation, computed with PBE-GGA.

Calculated values
The symmetry is Amm2.

a = 4.5117 Å, b = 7.3330 Å, c = 7.3330 Å
α = 120.11°, β = 90.00°, γ = 90.00°
Positions (direct):
Cd (0.5000, 0.9998, 0.7393)
Ho (0.0000, 0.4335, 0.9996)
Cd (0.5000, 0.2606, 0.2606)
Ho (0.0000, 0.9996, 0.4335)
Ga (0.5000, 0.6671, 0.3324)
Tl (0.0000, 0.0013, 0.0013)
Tb (0.0000, 0.5665, 0.5665)
Ga (0.5000, 0.3324, 0.6671)
Cd (0.5000, 0.7393, 0.9998)

---

(7)
Ho2TmTlCd3Ga2 after structural relaxation, computed with PBE-GGA.

Calculated values
The symmetry is Amm2.

a = 4.5140 Å, b = 7.2901 Å, c = 7.2901 Å
α = 119.88°, β = 90.00°, γ = 90.00°
Positions (direct):
Cd (0.5000, 0.0000, 0.2600)
Ho (0.0000, 0.9997, 0.5641)
Tl (0.0000, 0.0011, 0.0011)
Ga (0.5000, 0.6658, 0.3338)
Ga (0.5000, 0.3338, 0.6658)
Tm (0.0000, 0.4359, 0.4359)
Ho (0.0000, 0.5641, 0.9997)
Cd (0.5000, 0.7396, 0.7396)
Cd (0.5000, 0.2600, 0.0000)

---

(8)
HoTm2Cd3Ga3 after structural relaxation, computed with PBE-GGA.

Calculated values
The symmetry is Amm2.

a = 4.3829 Å, b = 7.2083 Å, c = 7.2083 Å
α = 120.12°, β = 90.00°, γ = 90.00°
Positions (direct):
Ho (0.0000, 0.4256, 0.4256)
Ga (0.5000, 0.6676, 0.3328)
Tm (0.0000, 0.5750, 0.0003)
Cd (0.5000, 0.2500, 0.0001)
Ga (0.0000, 0.9987, 0.9987)
Tm (0.0000, 0.0003, 0.5750)
Cd (0.5000, 0.7499, 0.7499)
Cd (0.5000, 0.0001, 0.2500)
Ga (0.5000, 0.3328, 0.6676)

---

Electronic total energy, respectively: -3.25 -3.29 -3.21 -3.23 -3.68 -3.21 -3.18 -3.31 eV/atom.